Run 1
This record from Alexandria via LeMat-Bulk describes a crystal of ScReP relaxed with PBEsol. The functional is meta-GGA SCAN.

Lattice parameters (Å, degrees): 3.2910 3.2910 5.3206 90.00 90.00 120.00
Positions (direct):
1 Sc 0.0000 0.0000 0.0000
2 Re 0.3333 0.6667 0.4225
3 P 0.6667 0.3333 0.6733

Properties
Theoretical density in g cm⁻³: 8.7

Run 2
This record from Alexandria via LeMat-Bulk describes a crystal of ScReP relaxed with PBEsol. The functional is meta-GGA SCAN.

Lattice parameters (Å, degrees): 5.3483 5.3483 5.3483 146.50 146.50 48.11
Positions (direct):
1 Sc 0.0000 0.0000 0.0000
2 Re 0.2988 0.2988 0.0000
3 P 0.6919 0.6919 0.0000

Properties
Theoretical density in g cm⁻³: 9.4

Quick one: least stable of them? run 1

Run 1
This record from Alexandria via LeMat-Bulk describes a crystal of ReSiP relaxed with PBEsol. The functional is meta-GGA SCAN.

Lattice parameters (Å, degrees): 4.0401 4.0401 4.0401 60.00 60.00 60.00
Positions (direct):
1 Re 0.0000 0.0000 0.0000
2 Si 0.7500 0.7500 0.7500
3 P 0.2500 0.2500 0.2500

Properties
Theoretical density in g cm⁻³: 8.7

Run 2
This record from Alexandria via LeMat-Bulk describes a crystal of ReSiP relaxed with PBEsol. The functional is meta-GGA SCAN.

Lattice parameters (Å, degrees): 4.0427 4.0427 2.9542 90.00 90.00 120.00
Positions (direct):
1 Re 0.0000 0.0000 0.0000
2 Si 0.3333 0.6667 0.5000
3 P 0.6667 0.3333 0.0000

Properties
Theoretical density in g cm⁻³: 9.7

Run 3
This record from Alexandria via LeMat-Bulk describes a crystal of ReSiP relaxed with PBEsol. The functional is meta-GGA SCAN.

Lattice parameters (Å, degrees): 6.7826 6.7826 3.1524 90.00 90.00 120.00
Positions (direct):
1 Re 0.0000 0.2713 0.0000
2 Re 0.2713 0.0000 0.0000
3 Re 0.7287 0.7287 0.0000
4 Si 0.0000 0.0000 0.5000
5 Si 0.3333 0.6667 0.0000
6 Si 0.6667 0.3333 0.0000
7 P 0.0000 0.6383 0.5000
8 P 0.3617 0.3617 0.5000
9 P 0.6383 0.0000 0.5000

Properties
Theoretical density in g cm⁻³: 9.7

Quick one: least stable of them? run 3

Run 1
This record from Alexandria via LeMat-Bulk describes a crystal of TaReP relaxed with PBEsol. The functional is meta-GGA SCAN.

Lattice parameters (Å, degrees): 5.4420 5.4420 5.4420 148.73 148.73 44.81
Positions (direct):
1 Ta 0.0000 0.0000 0.0000
2 Re 0.2990 0.2990 0.0000
3 P 0.6763 0.6763 0.0000

Properties
Theoretical density in g cm⁻³: 15.3

Run 2
This record from Alexandria via LeMat-Bulk describes a crystal of TaReP relaxed with PBEsol. The functional is meta-GGA SCAN.

Lattice parameters (Å, degrees): 2.9093 2.9093 6.0946 90.00 90.00 120.00
Positions (direct):
1 Ta 0.0000 0.0000 0.0000
2 Re 0.6667 0.3333 0.3767
3 P 0.3333 0.6667 0.6595

Properties
Theoretical density in g cm⁻³: 14.8

Run 3
This record from Alexandria via LeMat-Bulk describes a crystal of TaReP relaxed with PBEsol. The functional is meta-GGA SCAN.

Lattice parameters (Å, degrees): 4.1639 4.1639 4.1639 60.00 60.00 60.00
Positions (direct):
1 Ta 0.0000 0.0000 0.0000
2 Re 0.2500 0.2500 0.2500
3 P 0.5000 0.5000 0.5000

Properties
Theoretical density in g cm⁻³: 13.0

Quick one: least stable of them? run 2

Run 1
This record from Alexandria via LeMat-Bulk describes a crystal of Ta2ReP relaxed with PBEsol. The functional is meta-GGA SCAN.

Lattice parameters (Å, degrees): 8.6999 8.6999 8.6999 19.32 19.32 19.32
Positions (direct):
1 Ta 0.0000 0.0000 0.0000
2 Ta 0.2365 0.2365 0.2365
3 Re 0.7564 0.7564 0.7564
4 P 0.4898 0.4898 0.4898

Properties
Theoretical density in g cm⁻³: 15.3

Run 2
This record from Alexandria via LeMat-Bulk describes a crystal of Ta2ReP relaxed with PBEsol. The functional is meta-GGA SCAN.

Lattice parameters (Å, degrees): 3.2798 4.1576 4.4892 90.00 90.00 90.00
Positions (direct):
1 Ta 0.0000 0.0000 0.0000
2 Ta 0.5000 0.0000 0.5000
3 Re 0.0000 0.5000 0.5000
4 P 0.5000 0.5000 0.0000

Properties
Theoretical density in g cm⁻³: 15.7

Quick one: least stable of them? run 1

Run 1
This record from Alexandria via LeMat-Bulk describes a crystal of Re2TeP relaxed with PBEsol. The functional is meta-GGA SCAN.

Lattice parameters (Å, degrees): 3.0812 4.1521 5.0696 90.00 90.00 90.00
Positions (direct):
1 Re 0.0000 0.0000 0.0000
2 Re 0.5000 0.0000 0.5000
3 Te 0.0000 0.5000 0.5000
4 P 0.5000 0.5000 0.0000

Properties
Theoretical density in g cm⁻³: 13.6

Run 2
This record from Alexandria via LeMat-Bulk describes a crystal of Re2TeP relaxed with PBEsol. The functional is meta-GGA SCAN.

Lattice parameters (Å, degrees): 5.7785 5.7785 5.7785 148.61 140.29 51.47
Positions (direct):
1 Re 0.0000 0.0000 0.0000
2 Re 0.7223 0.2223 0.5000
3 Te 0.3121 0.8121 0.5000
4 P 0.5535 0.5535 0.0000

Properties
Theoretical density in g cm⁻³: 13.8

Run 3
This record from Alexandria via LeMat-Bulk describes a crystal of Re2TeP relaxed with PBEsol. The functional is meta-GGA SCAN.

Lattice parameters (Å, degrees): 3.0971 4.4715 4.7106 90.00 90.00 90.00
Positions (direct):
1 Re 0.0000 0.0000 0.0000
2 Re 0.5000 0.5000 0.1942
3 Te 0.0000 0.5000 0.6879
4 P 0.5000 0.0000 0.3819

Properties
Theoretical density in g cm⁻³: 13.5

Quick one: least stable of them? run 1

Run 1
This record from Alexandria via LeMat-Bulk describes a crystal of Re2TeP relaxed with PBEsol. The functional is meta-GGA SCAN.

Lattice parameters (Å, degrees): 3.0834 3.0834 6.3841 90.00 90.00 90.00
Positions (direct):
1 Re 0.0000 0.0000 0.2131
2 Re 0.0000 0.0000 0.7869
3 Te 0.5000 0.5000 0.5000
4 P 0.5000 0.5000 0.0000

Properties
Theoretical density in g cm⁻³: 14.5

Run 2
This record from Alexandria via LeMat-Bulk describes a crystal of Re2TeP relaxed with PBEsol. The functional is meta-GGA SCAN.

Lattice parameters (Å, degrees): 4.0495 4.0495 5.9414 101.40 101.40 44.61
Positions (direct):
1 Re 0.2322 0.2322 0.1778
2 Re 0.7678 0.7678 0.8222
3 Te 0.0000 0.0000 0.5000
4 P 0.5000 0.5000 0.0000

Properties
Theoretical density in g cm⁻³: 13.2

Quick one: least stable of them? run 1